# YCuC2, optimized geometry, DFT PBE
# - total DFT energy (no corrections) (eV/atom) = -6.135
# - DOS(E_F) (states/eV per cell) = 2.4
# - E_form (meV per atom) = 1117
data_YCuC2
_space_group_name_H-M_alt 'P 1'
_space_group_IT_number 1
_cell_length_a 4.098
_cell_length_b 4.098
_cell_length_c 4.098
_cell_angle_alpha 60.00
_cell_angle_beta 60.00
_cell_angle_gamma 60.00
loop_
_space_group_symop_operation_xyz
'x,y,z'
loop_
_atom_site_label
_atom_site_type_symbol
_atom_site_fract_x
_atom_site_fract_y
_atom_site_fract_z
C1 C 0.750 0.750 0.750
C2 C 0.250 0.250 0.250
Cu1 Cu 0.000 0.000 0.000
Y1 Y 0.500 0.500 0.500